Compound: La2AgRh
Source: the Alexandria database
Functional: meta-GGA SCAN
Structure: single point on PBEsol structure

- total DFT energy (no corrections) (eV per cell) = -153.6
- energy of formation (eV per atom) = -0.553
- density of states at the Fermi level (states/eV/atom) = 0.409
- space-group type = No. 166

abc: 4.110 4.110 7.785
angles: 74.69 74.69 60.00
Sites, in units of the cell vectors:
Rh 0.000 0.000 0.000
Ag 0.500 0.500 0.500
La 0.737 0.737 0.788
La 0.263 0.263 0.212